1.
The following is a PBEsol calculation of a relaxed structure of WCl2, from Alexandria via LeMat-Bulk.

a b c (Å): 3.060 3.060 6.931
angles (deg): 90.00 90.00 120.00
Positions (direct):
W 0.000 0.000 0.000
Cl 0.333 0.667 0.250
Cl 0.667 0.333 0.750

- electronic total energy (eV/atom) = -6.17
- spin magnetization (μB per formula unit) = 0.00
- density of states at the Fermi level (states/eV/f.u.) = 1.0
- formation energy (no corrections) (eV/atom) = -0.228
- space group = No. 164

2.
The following is a PBEsol calculation of a relaxed structure of Zr3Be, from Alexandria via LeMat-Bulk.

a b c (Å): 5.430 6.980 8.003
angles (deg): 90.00 90.00 90.00
Positions (direct):
Zr 0.859 0.682 0.546
Zr 0.141 0.318 0.454
Be 0.925 0.383 0.750
Zr 0.141 0.318 0.046
Be 0.575 0.883 0.750
Zr 0.359 0.818 0.454
Zr 0.879 0.972 0.250
Zr 0.121 0.028 0.750
Zr 0.621 0.472 0.250
Be 0.075 0.617 0.250
Zr 0.641 0.182 0.546
Zr 0.379 0.528 0.750
Zr 0.859 0.682 0.954
Be 0.425 0.117 0.250
Zr 0.359 0.818 0.046
Zr 0.641 0.182 0.954

- energy of formation from the pure elements (eV/f.u.) = 0.1
- electronic total energy (eV/atom) = -7.78
- spin magnetization (μB per formula unit) = 0.00
- density of states at the Fermi level (states/eV/f.u.) = 4.6
- space group = No. 62

3.
The following is a PBEsol calculation of a relaxed structure of PtSe2Cl, from Alexandria via LeMat-Bulk.

a b c (Å): 3.750 3.750 7.012
angles (deg): 74.49 74.49 60.00
Positions (direct):
Pt 0.000 0.000 0.000
Se 0.729 0.729 0.812
Se 0.271 0.271 0.188
Cl 0.500 0.500 0.500

- electronic total energy (eV/atom) = -4.50
- spin magnetization (μB per formula unit) = 0.00
- density of states at the Fermi level (states/eV/f.u.) = 2.2
- formation energy (no corrections) (eV/atom) = -0.334
- space group = No. 166

4.
The following is a PBEsol calculation of a relaxed structure of Y2BeSi, from Alexandria via LeMat-Bulk.

a b c (Å): 4.798 4.798 4.798
angles (deg): 60.00 60.00 60.00
Positions (direct):
Y 0.750 0.750 0.750
Be 0.500 0.500 0.500
Si 0.250 0.250 0.250
Y 0.000 0.000 0.000

- electronic total energy (eV/atom) = -5.46
- spin magnetization (μB per formula unit) = 0.00
- density of states at the Fermi level (states/eV/f.u.) = 6.7
- formation energy (no corrections) (eV/atom) = 0.384
- space group = No. 216

5.
The following is a PBEsol calculation of a relaxed structure of CuRe3H, from Alexandria via LeMat-Bulk.

a b c (Å): 3.869 3.869 3.869
angles (deg): 90.00 90.00 90.00
Positions (direct):
Re 0.000 0.500 0.000
H 0.000 0.000 0.000
Re 0.000 0.000 0.500
Re 0.500 0.000 0.000
Cu 0.500 0.500 0.500

- electronic total energy (eV/atom) = -9.13
- spin magnetization (μB per formula unit) = 0.00
- density of states at the Fermi level (states/eV/f.u.) = 3.5
- space group = No. 221

6.
The following is a PBEsol calculation of a relaxed structure of Mg2HgRh, from Alexandria via LeMat-Bulk.

a b c (Å): 3.936 3.936 5.178
angles (deg): 112.34 112.34 90.00
Positions (direct):
Hg 0.250 0.750 0.500
Rh 0.500 0.500 0.000
Mg 0.000 0.000 0.000
Mg 0.750 0.250 0.500

- energy of formation from the pure elements (eV/f.u.) = -1.3
- electronic total energy (eV/atom) = -3.36
- spin magnetization (μB per formula unit) = 0.00
- density of states at the Fermi level (states/eV/f.u.) = 1.5
- space group = No. 119

7.
The following is a PBEsol calculation of a relaxed structure of ScSbRh2, from Alexandria via LeMat-Bulk.

a b c (Å): 4.283 4.283 5.258
angles (deg): 65.97 65.97 60.00
Positions (direct):
Sb 0.431 0.431 0.707
Rh 0.023 0.023 0.930
Rh 0.816 0.816 0.551
Sc 0.230 0.230 0.311

- electronic total energy (eV/atom) = -7.39
- spin magnetization (μB per formula unit) = 0.00
- density of states at the Fermi level (states/eV/f.u.) = 2.7
- formation energy (no corrections) (eV/atom) = -0.527
- space group = No. 160

8.
The following is a PBEsol calculation of a relaxed structure of CrAg2Ir, from Alexandria via LeMat-Bulk.

a b c (Å): 2.671 2.671 9.347
angles (deg): 90.00 90.00 117.25
Positions (direct):
Ag 0.500 0.500 0.739
Ag 0.000 0.000 0.003
Ir 0.500 0.500 0.271
Cr 0.000 0.000 0.487

- energy of formation from the pure elements (eV/f.u.) = 1.3
- electronic total energy (eV/atom) = -6.34
- spin magnetization (μB per formula unit) = 0.00
- density of states at the Fermi level (states/eV/f.u.) = 3.1
- space group = No. 35

9.
The following is a PBEsol calculation of a relaxed structure of RbNi3F, from Alexandria via LeMat-Bulk.

a b c (Å): 4.531 4.531 4.531
angles (deg): 90.00 90.00 90.00
Each line ends with the local moment (μB).
Positions (direct):
Rb 0.000 0.000 0.000  -0.01
Ni 0.000 0.500 0.000  0.30
Ni 0.500 0.000 0.000  0.30
F 0.500 0.500 0.500  -0.01
Ni 0.000 0.000 0.500  0.30

- electronic total energy (eV/atom) = -2.15
- spin magnetization (μB per formula unit) = 0.83
- density of states at the Fermi level (states/eV/f.u.) = 12.5
- formation energy (no corrections) (eV/atom) = 2.138
- space group = No. 221

10.
The following is a PBEsol calculation of a relaxed structure of Mg2ZrPb, from Alexandria via LeMat-Bulk.

a b c (Å): 3.146 5.748 5.873
angles (deg): 115.42 105.53 90.00
Positions (direct):
Zr 0.249 0.651 0.498
Mg 0.999 0.089 0.999
Pb 0.500 0.602 0.001
Mg 0.751 0.158 0.502

- energy of formation from the pure elements (eV/f.u.) = -0.2
- electronic total energy (eV/atom) = -4.19
- spin magnetization (μB per formula unit) = 0.00
- density of states at the Fermi level (states/eV/f.u.) = 2.3
- space group = No. 8

11.
The following is a PBEsol calculation of a relaxed structure of Ba2InP, from Alexandria via LeMat-Bulk.

a b c (Å): 5.179 5.963 5.179
angles (deg): 64.26 90.00 115.74
Positions (direct):
Ba 0.750 0.500 0.750
In 0.500 0.000 0.500
Ba 0.250 0.500 0.250
P 0.000 0.000 0.000

- energy of formation from the pure elements (eV/f.u.) = -1.9
- electronic total energy (eV/atom) = -3.73
- spin magnetization (μB per formula unit) = 0.00
- density of states at the Fermi level (states/eV/f.u.) = 2.4
- space group = No. 139

12.
The following is a PBEsol calculation of a relaxed structure of Cr2TeRh, from Alexandria via LeMat-Bulk.

a b c (Å): 4.339 4.339 4.339
angles (deg): 60.00 60.00 60.00
Each line ends with the local moment (μB).
Positions (direct):
Cr 0.750 0.750 0.750  2.90
Cr 0.000 0.000 0.000  -0.64
Te 0.250 0.250 0.250  0.07
Rh 0.500 0.500 0.500  0.41

- electronic total energy (eV/atom) = -7.78
- spin magnetization (μB per formula unit) = 2.95
- density of states at the Fermi level (states/eV/f.u.) = 2.6
- formation energy (no corrections) (eV/atom) = 0.253
- space group = No. 216